1.
Crystalline La2CeSmRh2 at its relaxed geometry. Source: Alexandria, functional PBE-GGA.

Structure (extended XYZ):
```
12
Lattice="-3.550 6.730 3.510 3.550 -6.730 3.510 3.550 6.730 -3.510" Properties=species:S:1:pos:R:3 pbc="T T T"
La 1.571 2.622 0.000
La 1.571 -2.622 3.510
La 1.980 9.352 0.000
La 1.980 4.108 3.510
Ce 0.000 0.000 1.755
Ce 0.000 0.000 5.265
Sm 3.550 0.000 1.755
Sm 0.000 6.730 1.755
Rh 5.472 1.393 0.000
Rh 1.922 5.337 0.000
Rh 1.628 1.393 3.510
Rh -1.922 5.337 3.510
```

Output
The calculation puts the energy at -6.382 eV per atom. The density of states at the Fermi level comes out at 1.40 states/eV per atom. Its crystal system is orthorhombic. The size of the total moment is 0.2 μB/f.u.



2.
Crystalline LaCeRu4 at its relaxed geometry. Source: Alexandria, functional PBE-GGA.

Structure (extended XYZ):
```
6
Lattice="0.000 3.822 3.822 3.822 0.000 3.822 3.822 3.822 0.000" Properties=species:S:1:pos:R:3 pbc="T T T"
La 0.000 0.000 0.000
Ce 1.911 1.911 1.911
Ru 4.776 2.868 2.868
Ru 2.868 4.776 2.868
Ru 2.868 2.868 4.776
Ru 4.776 4.776 4.776
```

Output
The calculation puts the energy at -8.204 eV per atom. The density of states at the Fermi level comes out at 0.68 states/eV per atom. Its crystal system is cubic. The size of the total moment is 0.0 μB/f.u.



3.
Crystalline La4CeRu2 at its relaxed geometry. Source: Alexandria, functional PBE-GGA.

Structure (extended XYZ):
```
14
Lattice="4.590 -6.416 0.000 4.590 6.416 0.000 0.000 0.000 6.679" Properties=species:S:1:pos:R:3 pbc="T T T"
La 2.992 3.380 5.009
La 2.805 0.000 0.000
La 2.805 0.000 3.340
La 6.188 3.380 5.009
La 2.992 -3.380 1.670
La 6.374 0.000 0.000
La 6.374 0.000 3.340
La 6.188 -3.380 1.670
Ce 4.590 4.662 1.670
Ce 4.590 -4.662 5.009
Ru 4.590 5.654 5.009
Ru 4.590 2.321 1.670
Ru 4.590 -2.321 5.009
Ru 4.590 -5.654 1.670
```

Output
The calculation puts the energy at -6.449 eV per atom. The density of states at the Fermi level comes out at 1.32 states/eV per atom. Its crystal system is orthorhombic. The size of the total moment is 0.0 μB/f.u.



4.
Crystalline La5Ce5Ru6 at its relaxed geometry. Source: Alexandria, functional PBE-GGA.

Structure (extended XYZ):
```
16
Lattice="6.508 0.000 0.000 0.000 7.754 3.969 0.000 -7.754 3.969" Properties=species:S:1:pos:R:3 pbc="T T T"
La 0.000 0.000 0.000
La 0.000 -1.782 3.197
La 0.000 1.782 3.197
La 3.254 -1.839 1.238
La 3.254 1.839 1.238
Ce 1.626 -2.754 6.180
Ce 1.626 2.754 6.180
Ce 3.254 0.000 4.491
Ce 4.882 -2.754 6.180
Ce 4.882 2.754 6.180
Ru 0.000 -4.723 4.231
Ru 0.000 0.000 5.182
Ru 0.000 4.723 4.231
Ru 3.254 -2.970 4.133
Ru 3.254 2.970 4.133
Ru 3.254 0.000 6.907
```

Output
The calculation puts the energy at -7.167 eV per atom. The density of states at the Fermi level comes out at 1.29 states/eV per atom. Its crystal system is orthorhombic. The size of the total moment is 0.0 μB/f.u.



5.
Crystalline LaCe5Ru4 at its relaxed geometry. Source: Alexandria, functional PBE-GGA.

Structure (extended XYZ):
```
20
Lattice="7.989 0.000 0.000 0.000 9.725 0.000 0.000 0.000 6.815" Properties=species:S:1:pos:R:3 pbc="T T T"
La 1.997 2.431 1.587
La 5.992 7.294 5.228
Ce 0.136 0.608 4.921
Ce 0.136 4.254 4.921
Ce 1.997 7.294 6.070
Ce 3.859 0.608 4.921
Ce 3.859 4.254 4.921
Ce 4.130 5.471 1.894
Ce 4.130 9.117 1.894
Ce 5.992 2.431 0.745
Ce 7.853 5.471 1.894
Ce 7.853 9.117 1.894
Ru 0.583 7.294 3.403
Ru 1.997 4.885 6.699
Ru 1.997 9.703 6.699
Ru 3.411 7.294 3.403
Ru 4.578 2.431 3.412
Ru 5.992 0.023 0.116
Ru 5.992 4.840 0.116
Ru 7.405 2.431 3.412
```

Output
The calculation puts the energy at -7.329 eV per atom. The density of states at the Fermi level comes out at 1.83 states/eV per atom. Its crystal system is orthorhombic. The size of the total moment is 1.4 μB/f.u.



6.
Crystalline LaCe2Ru at its relaxed geometry. Source: Alexandria, functional PBE-GGA.

Structure (extended XYZ):
```
4
Lattice="1.959 1.131 8.910 -1.959 1.131 8.910 0.000 -2.262 8.910" Properties=species:S:1:pos:R:3 pbc="T T T"
La 0.000 0.000 0.000
Ce 0.000 0.000 14.892
Ce 0.000 0.000 20.665
Ru 0.000 0.000 4.347
```

Output
The energy above the most stable polymorph in this dataset is 118 meV per atom. The density of states at the Fermi level comes out at 2.23 states/eV per atom. Its crystal system is trigonal. The size of the total moment is 0.5 μB/f.u.



7.
Crystalline La3Ce7Ru4 at its relaxed geometry. Source: Alexandria, functional PBE-GGA.

Structure (extended XYZ):
```
14
Lattice="4.015 0.000 0.000 -1.962 9.458 0.000 -1.891 -4.130 9.457" Properties=species:S:1:pos:R:3 pbc="T T T"
La 0.000 0.000 0.000
La -1.878 5.219 2.857
La 2.040 0.109 6.599
Ce -1.880 3.663 6.526
Ce 0.041 -0.934 3.894
Ce 0.115 6.294 0.234
Ce 0.081 2.664 4.728
Ce 0.047 -0.967 9.222
Ce 0.121 6.262 5.563
Ce 2.042 1.665 2.931
Ru 0.103 3.183 1.457
Ru 0.121 -2.691 7.143
Ru 0.042 8.018 2.313
Ru 0.059 2.145 8.000
```

Output
The calculation puts the energy at -6.857 eV per atom. The density of states at the Fermi level comes out at 1.90 states/eV per atom. Its crystal system is triclinic. The size of the total moment is 0.1 μB/f.u.



8.
Crystalline LaCe2Ru at its relaxed geometry. Source: Alexandria, functional PBE-GGA.

Structure (extended XYZ):
```
4
Lattice="2.319 1.339 5.233 -2.319 1.339 5.233 0.000 -2.678 5.233" Properties=species:S:1:pos:R:3 pbc="T T T"
La 0.000 0.000 0.000
Ce 0.000 0.000 3.721
Ce 0.000 0.000 11.978
Ru 0.000 0.000 7.850
```

Output
The energy above the most stable polymorph in this dataset is 184 meV per atom. The density of states at the Fermi level comes out at 1.92 states/eV per atom. Its crystal system is trigonal. The size of the total moment is 0.0 μB/f.u.



9.
Crystalline LaCe2Ru at its relaxed geometry. Source: Alexandria, functional PBE-GGA.

Structure (extended XYZ):
```
32
Lattice="14.296 0.000 0.000 0.000 9.574 0.000 0.000 0.000 6.310" Properties=species:S:1:pos:R:3 pbc="T T T"
La 1.444 2.394 1.463
La 2.058 7.181 6.009
La 5.090 2.394 2.854
La 5.705 7.181 4.619
La 8.592 2.394 1.692
La 9.207 7.181 3.456
La 12.238 2.394 0.301
La 12.853 7.181 4.847
Ce 0.537 0.567 4.691
Ce 0.537 4.220 4.691
Ce 3.033 5.398 2.735
Ce 3.033 8.964 2.735
Ce 4.115 0.611 5.890
Ce 4.115 4.176 5.890
Ce 6.611 5.354 1.536
Ce 6.611 9.007 1.536
Ce 7.685 0.567 4.774
Ce 7.685 4.220 4.774
Ce 10.181 5.398 0.420
Ce 10.181 8.964 0.420
Ce 11.263 0.611 3.576
Ce 11.263 4.176 3.576
Ce 13.759 5.354 1.619
Ce 13.759 9.007 1.619
Ru 1.100 7.181 2.960
Ru 2.464 2.394 4.572
Ru 4.684 7.181 1.417
Ru 6.048 2.394 6.115
Ru 8.248 7.181 0.195
Ru 9.612 2.394 4.893
Ru 11.832 7.181 1.738
Ru 13.197 2.394 3.350
```

Output
The energy above the most stable polymorph in this dataset is 0 meV per atom. The density of states at the Fermi level comes out at 2.11 states/eV per atom. Its crystal system is orthorhombic. The size of the total moment is 0.0 μB/f.u.



10.
Crystalline La3Ce2Ru3 at its relaxed geometry. Source: Alexandria, functional PBE-GGA.

Structure (extended XYZ):
```
16
Lattice="2.364 -5.875 0.000 2.364 5.875 0.000 0.000 0.000 14.746" Properties=species:S:1:pos:R:3 pbc="T T T"
La 2.364 5.328 9.071
La 2.364 5.328 13.048
La 2.364 1.739 11.059
La 2.364 -1.739 3.686
La 2.364 -5.328 1.698
La 2.364 -5.328 5.675
Ce 2.364 2.788 1.253
Ce 2.364 2.788 6.120
Ce 2.364 -2.788 8.626
Ce 2.364 -2.788 13.493
Ru 2.364 2.038 3.686
Ru 2.364 1.358 8.043
Ru 2.364 1.358 14.076
Ru 2.364 -1.358 0.670
Ru 2.364 -1.358 6.703
Ru 2.364 -2.038 11.059
```

Output
The calculation puts the energy at -7.096 eV per atom. The density of states at the Fermi level comes out at 1.05 states/eV per atom. Its crystal system is orthorhombic. The size of the total moment is 0.0 μB/f.u.



11.
Crystalline La3CeRu3 at its relaxed geometry. Source: Alexandria, functional PBE-GGA.

Structure (extended XYZ):
```
14
Lattice="6.374 -2.029 0.000 6.374 2.029 0.000 -5.964 0.000 13.624" Properties=species:S:1:pos:R:3 pbc="T T T"
La -1.344 0.000 4.129
La -1.267 0.000 7.818
La -0.426 0.000 11.853
La 7.210 0.000 1.770
La 8.052 0.000 5.806
La 8.129 0.000 9.495
Ce 3.667 0.000 1.499
Ce 3.117 0.000 12.125
Ru -4.645 0.000 13.095
Ru 2.523 0.000 3.526
Ru 2.370 0.000 7.734
Ru 4.414 0.000 5.890
Ru 4.262 0.000 10.098
Ru 11.430 0.000 0.529
```

Output
The calculation puts the energy at -7.187 eV per atom. The density of states at the Fermi level comes out at 0.77 states/eV per atom. Its crystal system is monoclinic. The size of the total moment is 0.0 μB/f.u.



12.
Crystalline La2CeRu2 at its relaxed geometry. Source: Alexandria, functional PBE-GGA.

Structure (extended XYZ):
```
10
Lattice="-3.914 5.368 3.245 3.914 -5.368 3.245 3.914 5.368 -3.245" Properties=species:S:1:pos:R:3 pbc="T T T"
La 0.982 1.756 0.000
La 4.896 3.612 0.000
La -0.982 1.756 3.245
La 2.932 3.612 3.245
Ce 3.914 0.000 1.622
Ce 0.000 5.368 1.622
Ru 5.774 0.859 0.000
Ru 1.860 4.509 0.000
Ru 2.054 0.859 3.245
Ru -1.860 4.509 3.245
```

Output
The energy above the most stable polymorph in this dataset is 73 meV per atom. The density of states at the Fermi level comes out at 0.57 states/eV per atom. Its crystal system is orthorhombic. The size of the total moment is 0.0 μB/f.u.



13.
Crystalline La3CeRu8 at its relaxed geometry. Source: Alexandria, functional PBE-GGA.

Structure (extended XYZ):
```
12
Lattice="2.706 1.562 8.941 -2.706 1.562 8.941 0.000 -3.124 8.941" Properties=species:S:1:pos:R:3 pbc="T T T"
La 0.000 0.000 0.000
La 0.000 0.000 3.346
La 0.000 0.000 16.770
Ce 0.000 0.000 13.408
Ru 0.000 -1.547 6.117
Ru -1.340 0.774 6.117
Ru -1.349 -0.779 10.658
Ru 0.000 0.000 8.406
Ru 1.340 0.774 6.117
Ru 1.349 -0.779 10.658
Ru 0.000 1.557 10.658
Ru 0.000 0.000 21.823
```

Output
The calculation puts the energy at -8.082 eV per atom. The density of states at the Fermi level comes out at 1.07 states/eV per atom. Its crystal system is trigonal. The size of the total moment is 0.0 μB/f.u.



14.
Crystalline LaCe2Ru at its relaxed geometry. Source: Alexandria, functional PBE-GGA.

Structure (extended XYZ):
```
4
Lattice="3.575 0.000 0.000 0.000 3.575 0.000 0.000 0.000 7.967" Properties=species:S:1:pos:R:3 pbc="T T T"
La 0.000 0.000 0.000
Ce 1.787 1.787 2.430
Ce 1.787 1.787 5.536
Ru 0.000 0.000 3.983
```

Output
The energy above the most stable polymorph in this dataset is 105 meV per atom. The density of states at the Fermi level comes out at 2.18 states/eV per atom. Its crystal system is tetragonal. The size of the total moment is 0.0 μB/f.u.



15.
Crystalline LaCe2Ru at its relaxed geometry. Source: Alexandria, functional PBE-GGA.

Structure (extended XYZ):
```
8
Lattice="6.010 0.000 0.000 0.000 3.825 0.000 -1.202 0.000 9.823" Properties=species:S:1:pos:R:3 pbc="T T T"
La 0.909 0.000 4.494
La 3.899 1.912 5.329
Ce 0.907 1.907 1.292
Ce 0.876 1.908 7.589
Ce 3.932 3.820 2.234
Ce 3.901 3.820 8.531
Ru 0.740 3.819 9.472
Ru 4.068 1.906 0.351
```

Output
The energy above the most stable polymorph in this dataset is 48 meV per atom. The density of states at the Fermi level comes out at 2.17 states/eV per atom. Its crystal system is monoclinic. The size of the total moment is 0.4 μB/f.u.



16.
Crystalline La2CeRu2 at its relaxed geometry. Source: Alexandria, functional PBE-GGA.

Structure (extended XYZ):
```
10
Lattice="5.511 -3.225 0.000 5.511 3.225 0.000 -1.246 0.000 7.309" Properties=species:S:1:pos:R:3 pbc="T T T"
La 1.559 0.737 1.111
La 0.936 -0.737 4.766
La 8.841 0.737 2.543
La 8.218 -0.737 6.197
Ce 5.200 0.469 1.827
Ce 4.577 -0.469 5.481
Ru 3.204 0.822 3.329
Ru 2.581 -0.822 6.983
Ru 7.195 0.822 0.325
Ru 6.572 -0.822 3.980
```

Output
The energy above the most stable polymorph in this dataset is 0 meV per atom. The density of states at the Fermi level comes out at 0.96 states/eV per atom. Its crystal system is monoclinic. The size of the total moment is 0.0 μB/f.u.



17.
Crystalline La3CeRu2 at its relaxed geometry. Source: Alexandria, functional PBE-GGA.

Structure (extended XYZ):
```
12
Lattice="4.921 -5.163 0.000 4.921 5.163 0.000 0.000 0.000 6.297" Properties=species:S:1:pos:R:3 pbc="T T T"
La 4.921 4.534 4.723
La 3.163 2.643 1.574
La 6.679 2.643 1.574
La 3.163 -2.643 4.723
La 6.679 -2.643 4.723
La 4.921 -4.534 1.574
Ce 4.921 0.692 4.723
Ce 4.921 -0.692 1.574
Ru 2.858 0.000 0.000
Ru 2.858 0.000 3.149
Ru 6.984 0.000 0.000
Ru 6.984 0.000 3.149
```

Output
The calculation puts the energy at -6.778 eV per atom. The density of states at the Fermi level comes out at 1.27 states/eV per atom. Its crystal system is orthorhombic. The size of the total moment is 0.0 μB/f.u.



18.
Crystalline La2Ce2Ru3 at its relaxed geometry. Source: Alexandria, functional PBE-GGA.

Structure (extended XYZ):
```
7
Lattice="4.484 0.000 0.000 -1.718 5.800 0.000 -0.728 -1.097 7.100" Properties=species:S:1:pos:R:3 pbc="T T T"
La 0.004 1.068 2.597
La 2.034 3.635 4.503
Ce 0.363 4.157 0.656
Ce 1.675 0.547 6.444
Ru 0.000 0.000 0.000
Ru -0.296 1.324 5.351
Ru 2.334 3.379 1.749
```

Output
The calculation puts the energy at -7.384 eV per atom. The density of states at the Fermi level comes out at 0.72 states/eV per atom. Its crystal system is triclinic. The size of the total moment is 0.0 μB/f.u.



19.
Crystalline La3CeRu at its relaxed geometry. Source: Alexandria, functional PBE-GGA.

Structure (extended XYZ):
```
5
Lattice="5.605 0.000 0.000 0.000 5.605 0.000 0.000 0.000 5.605" Properties=species:S:1:pos:R:3 pbc="T T T"
La 0.000 0.000 2.803
La 0.000 2.803 0.000
La 2.803 0.000 0.000
Ce 2.803 2.803 2.803
Ru 0.000 0.000 0.000
```

Output
The calculation puts the energy at -5.977 eV per atom. The density of states at the Fermi level comes out at 2.36 states/eV per atom. Its crystal system is cubic. The size of the total moment is 2.8 μB/f.u.



20.
Crystalline La4Ce3Ru2 at its relaxed geometry. Source: Alexandria, functional PBE-GGA.

Structure (extended XYZ):
```
9
Lattice="8.731 -1.888 0.000 8.731 1.888 0.000 -4.042 0.000 8.016" Properties=species:S:1:pos:R:3 pbc="T T T"
La 0.556 0.000 3.090
La 1.251 0.000 6.849
La 12.169 0.000 1.167
La 12.863 0.000 4.926
Ce 6.107 0.000 2.489
Ce 8.731 0.000 0.000
Ce 7.312 0.000 5.527
Ru -2.209 0.000 7.214
Ru 15.629 0.000 0.802
```

Output
The calculation puts the energy at -6.420 eV per atom. The density of states at the Fermi level comes out at 1.64 states/eV per atom. Its crystal system is monoclinic. The size of the total moment is 0.0 μB/f.u.



21.
Crystalline LaCe3Ru2 at its relaxed geometry. Source: Alexandria, functional PBE-GGA.

Structure (extended XYZ):
```
12
Lattice="8.687 -1.982 0.000 8.687 1.982 0.000 -4.184 0.000 8.676" Properties=species:S:1:pos:R:3 pbc="T T T"
La 1.539 0.000 1.177
La 11.650 0.000 7.499
Ce -2.673 0.000 5.674
Ce 5.144 0.000 0.984
Ce 3.722 0.000 4.334
Ce 9.468 0.000 4.342
Ce 8.045 0.000 7.692
Ce 15.863 0.000 3.001
Ru 0.358 0.000 6.061
Ru 7.771 0.000 1.229
Ru 5.419 0.000 7.446
Ru 12.831 0.000 2.615
```

Output
The calculation puts the energy at -7.143 eV per atom. The density of states at the Fermi level comes out at 1.83 states/eV per atom. Its crystal system is monoclinic. The size of the total moment is 0.3 μB/f.u.